Entry 1:
# HgPt2Rh2 | Alexandria via LeMat-Bulk | PBE-GGA | optimized geometry
data_HgPt2Rh2
_space_group_name_H-M_alt 'P 1'
_space_group_IT_number 1
_space_group_name_Hall 'P 1'
_cell_length_a 7.766
_cell_length_b 7.766
_cell_length_c 2.793
_cell_angle_alpha 90.00
_cell_angle_beta 90.00
_cell_angle_gamma 90.00
loop_
_atom_site_label
_atom_site_type_symbol
_atom_site_fract_x
_atom_site_fract_y
_atom_site_fract_z
Rh1 Rh 0.673 0.827 0.500
Rh2 Rh 0.173 0.673 0.500
Pt1 Pt 0.875 0.625 0.000
Pt2 Pt 0.125 0.375 0.000
Rh3 Rh 0.827 0.327 0.500
Hg1 Hg 0.000 0.000 0.000
Pt3 Pt 0.375 0.875 0.000
Rh4 Rh 0.327 0.173 0.500
Hg2 Hg 0.500 0.500 0.000
Pt4 Pt 0.625 0.125 0.000
# Space group: P4/mbm
# Distance to the lowest polymorph of the same formula (eV/f.u.): 0.00
# ΔE_f (eV per atom): 0.197
# Calculated density (g cm⁻³): 15.703

=====

Entry 2:
# HgPtRh2 | Alexandria via LeMat-Bulk | PBE-GGA | optimized geometry
data_HgPtRh2
_space_group_name_H-M_alt 'P 1'
_space_group_IT_number 1
_space_group_name_Hall 'P 1'
_cell_length_a 4.520
_cell_length_b 4.520
_cell_length_c 4.520
_cell_angle_alpha 60.00
_cell_angle_beta 60.00
_cell_angle_gamma 60.00
loop_
_atom_site_label
_atom_site_type_symbol
_atom_site_fract_x
_atom_site_fract_y
_atom_site_fract_z
Rh1 Rh 0.000 0.000 0.000
Pt1 Pt 0.750 0.750 0.750
Hg1 Hg 0.500 0.500 0.500
Rh2 Rh 0.250 0.250 0.250
# Space group: F-43m
# ΔE_f (eV per atom): 0.279
# Calculated density (g cm⁻³): 15.294

=====

Entry 3:
# HgPtRh2 | Alexandria via LeMat-Bulk | PBE-GGA | optimized geometry
data_HgPtRh2
_space_group_name_H-M_alt 'P 1'
_space_group_IT_number 1
_space_group_name_Hall 'P 1'
_cell_length_a 4.844
_cell_length_b 4.844
_cell_length_c 4.844
_cell_angle_alpha 130.49
_cell_angle_beta 130.49
_cell_angle_gamma 72.63
loop_
_atom_site_label
_atom_site_type_symbol
_atom_site_fract_x
_atom_site_fract_y
_atom_site_fract_z
Rh1 Rh 0.250 0.750 0.500
Pt1 Pt 0.000 0.000 0.000
Rh2 Rh 0.750 0.250 0.500
Hg1 Hg 0.500 0.500 0.000
# Space group: I4/mmm
# ΔE_f (eV per atom): 0.150
# Calculated density (g cm⁻³): 15.546

=====

Entry 4:
# HgPtRh2 | Alexandria via LeMat-Bulk | PBE-GGA | optimized geometry
data_HgPtRh2
_space_group_name_H-M_alt 'P 1'
_space_group_IT_number 1
_space_group_name_Hall 'P 1'
_cell_length_a 4.828
_cell_length_b 4.828
_cell_length_c 5.017
_cell_angle_alpha 80.63
_cell_angle_beta 80.63
_cell_angle_gamma 34.14
loop_
_atom_site_label
_atom_site_type_symbol
_atom_site_fract_x
_atom_site_fract_y
_atom_site_fract_z
Rh1 Rh 0.246 0.246 0.771
Rh2 Rh 0.754 0.754 0.229
Pt1 Pt 0.500 0.500 0.000
Hg1 Hg 0.000 0.000 0.500
# Space group: C2/m
# ΔE_f (eV per atom): 0.141
# Calculated density (g cm⁻³): 15.444